1.
This record from Alexandria via LeMat-Bulk describes a geometry-optimized La3TbY3Se8 structure. The functional is PBE.

Summary:
- E (eV/cell) = -95.539
- total magnetic moment (μB per formula unit) = 0.0
- formation energy (no corrections) (kJ per mole of atoms) = -185.6

Cell: 8.297 8.297 8.428 Å, 119.49 90.00 120.00°
Fractional coordinates of all 15 atoms:
La  0.000  0.000  0.000
Se  0.259  0.011  0.263
Se  0.248  0.989  0.737
Se  0.752  0.011  0.263
Se  0.744  0.488  0.733
Tb  0.000  0.000  0.500
Se  0.256  0.512  0.267
Se  0.741  0.989  0.737
Y  0.500  0.500  0.500
La  0.500  0.500  0.000
La  0.000  0.500  0.000
Y  0.500  0.000  0.500
Y  0.000  0.500  0.500
Se  0.248  0.496  0.737
Se  0.752  0.504  0.263

---

2.
This record from Alexandria via LeMat-Bulk describes a geometry-optimized ScTiTc2 structure. The functional is PBE.

Summary:
- ΔE_f (kJ per mole of atoms) = 28.7
- E (eV/cell) = -67.536
- total magnetic moment (μB per formula unit) = 0.0

Cell: 7.033 7.033 5.686 Å, 51.79 51.79 90.00°
Fractional coordinates of all 8 atoms:
Sc  0.250  0.750  0.500
Tc  0.375  0.356  0.750
Tc  0.875  0.894  0.750
Tc  0.644  0.125  0.250
Tc  0.106  0.625  0.250
Ti  0.750  0.250  0.500
Ti  0.000  0.000  0.000
Sc  0.500  0.500  0.000

---

3.
This record from Alexandria via LeMat-Bulk describes a geometry-optimized AlCoCl2 structure. The functional is PBE.

Summary:
- E (eV/cell) = -16.127
- total magnetic moment (μB per formula unit) = 0.6
- formation energy (no corrections) (kJ per mole of atoms) = -38.2

Cell: 3.204 3.585 7.426 Å, 80.29 90.00 90.00°
Each line ends with the local moment (μB).
Fractional coordinates of all 4 atoms:
Al  0.500  0.787  0.660  -0.03
Co  0.000  0.308  0.589  0.62
Cl  0.000  0.036  0.888  -0.01
Cl  0.500  0.369  0.363  0.06

---

It is found that the DOS at the Fermi energy values, taken in the order of the records, are 7.936; 4.747; 1.861 states/eV/f.u..